Entry from Alexandria: NbGePO2 at its PBEsol-relaxed geometry (meta-GGA SCAN).

Calculated values
total magnetization	0.00	μB/f.u.
space group	P4/mmm (123)
energy relative to the elements, uncorrected	-1200	meV/atom
electronic total energy	-81.1	eV/cell

Unit cell a=3.9035 b=3.9035 c=5.1704 alpha=90.00 beta=90.00 gamma=90.00
Closest atoms and distances in Å follow each position.
Atoms (fractional coordinates):
1 O 0.0000 0.5000 0.0000  2 Nb 1.95
2 O 0.5000 0.0000 0.0000  2 Nb 1.95
3 Ge 0.5000 0.5000 0.5000  4 P 2.76
4 Nb 0.0000 0.0000 0.0000  4 O 1.95
5 P 0.0000 0.0000 0.5000  2 Nb 2.59, 4 Ge 2.76



Entry from Alexandria: NaZr2ReCl at its PBEsol-relaxed geometry (meta-GGA SCAN).

Calculated values
total magnetization	0.00	μB/f.u.
space group	P4/mmm (123)
energy relative to the elements, uncorrected	500	meV/atom
electronic total energy	-142.2	eV/cell

Unit cell a=4.3176 b=4.7656 c=4.7656 alpha=90.00 beta=90.00 gamma=90.00
Closest atoms and distances in Å follow each position.
Atoms (fractional coordinates):
1 Re 0.5000 0.5000 0.5000  8 Zr 3.22, 4 Na 3.37
2 Zr 0.0000 0.5000 0.0000  2 Cl 2.38
3 Zr 0.0000 0.0000 0.5000  2 Cl 2.38
4 Cl 0.0000 0.0000 0.0000  2 Na 2.16, 4 Zr 2.38
5 Na 0.5000 0.0000 0.0000  2 Cl 2.16



Entry from Alexandria: Nb3BTe at its PBEsol-relaxed geometry (meta-GGA SCAN).

Calculated values
total magnetization	0.00	μB/f.u.
space group	Pm-3m (221)
energy relative to the elements, uncorrected	84	meV/atom
electronic total energy	-143.7	eV/cell
energy relative to the lowest polymorph listed for this composition	0	meV/atom

Unit cell a=4.3787 b=4.3787 c=4.3787 alpha=90.00 beta=90.00 gamma=90.00
Closest atoms and distances in Å follow each position.
Atoms (fractional coordinates):
1 Nb 0.0000 0.5000 0.0000  2 B 2.19
2 Nb 0.5000 0.0000 0.0000  2 B 2.19
3 Nb 0.0000 0.0000 0.5000  2 B 2.19
4 B 0.0000 0.0000 0.0000  6 Nb 2.19
5 Te 0.5000 0.5000 0.5000  12 Nb 3.10